Entry 1:
# ScPdAu3, optimized geometry, DFT PBE
# Formation enthalpy at 0 K in meV per atom: -520
# Energy relative to the lowest polymorph listed for this composition in meV/atom: 0
# Magnetization in μB per cell: 0.0
# Calculated volume in Å³ per atom: 18.112
# Energy in eV/cell: -95.82
data_ScPdAu3
_chemical_formula_sum 'Sc4 Pd4 Au12'
_space_group_name_H-M_alt 'P n m a'
_space_group_IT_number 62
_space_group_name_Hall '-P 2ac 2n'
_cell_length_a 5.7205
_cell_length_b 4.9207
_cell_length_c 12.8687
_cell_angle_alpha 90.00
_cell_angle_beta 90.00
_cell_angle_gamma 90.00
loop_
_atom_site_label
_atom_site_type_symbol
_atom_site_fract_x
_atom_site_fract_y
_atom_site_fract_z
Sc1 Sc 0.2476 0.2500 0.0515
Pd1 Pd 0.9999 0.2500 0.8684
Au1 Au 0.0049 0.2500 0.2488
Au2 Au 0.0110 0.2500 0.6381
Au3 Au 0.2483 0.7500 0.9377

***

Entry 2:
# Mg2Zn16Ag, optimized geometry, DFT PBE
# Formation enthalpy at 0 K in meV per atom: -16
# Magnetization in μB per cell: 0.0
# Calculated volume in Å³ per atom: 16.135
# Energy in eV/cell: -80.19
data_Mg2Zn16Ag
_chemical_formula_sum 'Mg6 Zn48 Ag3'
_space_group_name_H-M_alt 'R 3 m'
_space_group_IT_number 160
_space_group_name_Hall 'R 3 -2"'
_cell_length_a 8.9822
_cell_length_b 8.9822
_cell_length_c 13.1630
_cell_angle_alpha 90.00
_cell_angle_beta 90.00
_cell_angle_gamma 120.00
loop_
_atom_site_label
_atom_site_type_symbol
_atom_site_fract_x
_atom_site_fract_y
_atom_site_fract_z
Mg1 Mg 0.0000 0.0000 0.0000
Mg2 Mg 0.0000 0.0000 0.3048
Zn1 Zn 0.0000 0.0000 0.7633
Zn2 Zn 0.9995 0.3052 0.6511
Zn3 Zn 0.0094 0.5047 0.8031
Zn4 Zn 0.1690 0.3380 0.4849
Zn5 Zn 0.1716 0.3432 0.8321
Ag1 Ag 0.0000 0.0000 0.5498

***

Entry 3:
# MnZn2Au2, optimized geometry, DFT PBE
# Formation enthalpy at 0 K in meV per atom: -36
# Energy relative to the lowest polymorph listed for this composition in meV/atom: 72
# Magnetization in μB per cell: 8.7
# Calculated volume in Å³ per atom: 17.381
# Energy in eV/cell: -36.90
data_MnZn2Au2
_chemical_formula_sum 'Mn2 Zn4 Au4'
_space_group_name_H-M_alt 'I 4/m m m'
_space_group_IT_number 139
_space_group_name_Hall '-I 4 2'
_cell_length_a 3.6004
_cell_length_b 3.6004
_cell_length_c 13.4081
_cell_angle_alpha 90.00
_cell_angle_beta 90.00
_cell_angle_gamma 90.00
loop_
_atom_site_label
_atom_site_type_symbol
_atom_site_fract_x
_atom_site_fract_y
_atom_site_fract_z
Mn1 Mn 0.0000 0.0000 0.0000
Zn1 Zn 0.0000 0.5000 0.2500
Au1 Au 0.0000 0.0000 0.3985